Compound: Mn4Os
Source: Alexandria via LeMat-Bulk
Functional: SCAN
Structure: PBEsol geometry

VASP energy, eV per atom: -28.849
Size of the total moment, μB per cell: 3.4
Space-group type: No. 87
Energy of formation, eV per atom: 0.131
Fermi-level density of states, states/eV/atom: 1.037

Cell lengths 4.3443, 4.3443, 4.3443 Å; angles 99.59, 99.59, 131.82 degrees
Closest atoms and distances in Å follow each position.
Sites, in units of the cell vectors:
1 Mn 0.0964 0.3070 0.4034  9 Mn 2.42-2.55, 3 Os 2.51-2.53
2 Mn 0.3070 0.9036 0.2106  9 Mn 2.42-2.55, 3 Os 2.51-2.53
3 Mn 0.6930 0.0964 0.7894  9 Mn 2.42-2.55, 3 Os 2.51-2.53
4 Mn 0.9036 0.6930 0.5966  9 Mn 2.42-2.55, 3 Os 2.51-2.53
5 Os 0.5000 0.5000 0.0000  12 Mn 2.51-2.53

Compound: Ho6Al43W4
Source: Alexandria via LeMat-Bulk
Functional: SCAN
Structure: PBEsol geometry

VASP energy, eV per atom: -17.385
Size of the total moment, μB per cell: 0.0
Space-group type: No. 193
Energy of formation, eV per atom: -0.290
Fermi-level density of states, states/eV/atom: 0.368

Cell lengths 10.9115, 10.9115, 17.5848 Å; angles 90.00, 90.00, 120.00 degrees
Closest atoms and distances in Å follow each position.
Sites, in units of the cell vectors:
1 Ho 0.0000 0.4677 0.0955  15 Al 3.04-3.37
2 Ho 0.0000 0.4677 0.4045  15 Al 3.04-3.37
3 Ho 0.0000 0.5323 0.5955  15 Al 3.04-3.37
4 Ho 0.0000 0.5323 0.9045  15 Al 3.04-3.37
5 Ho 0.4677 0.0000 0.0955  15 Al 3.04-3.37
6 Ho 0.4677 0.0000 0.4045  15 Al 3.04-3.37
7 Ho 0.4677 0.4677 0.5955  15 Al 3.04-3.37
8 Ho 0.4677 0.4677 0.9045  15 Al 3.04-3.37
9 Ho 0.5323 0.0000 0.5955  15 Al 3.04-3.37
10 Ho 0.5323 0.0000 0.9045  15 Al 3.04-3.37
11 Ho 0.5323 0.5323 0.0955  15 Al 3.04-3.37
12 Ho 0.5323 0.5323 0.4045  15 Al 3.04-3.37
13 Al 0.0000 0.1486 0.7500  2 W 2.57, 6 Al 2.81
14 Al 0.0000 0.1602 0.1144  2 W 2.67, 7 Al 2.71-2.92
15 Al 0.0000 0.1602 0.3856  2 W 2.67, 7 Al 2.71-2.92
16 Al 0.0000 0.2546 0.5302  9 Al 2.71-2.97, 1 W 2.83
17 Al 0.0000 0.2546 0.9698  9 Al 2.71-2.97, 1 W 2.83
18 Al 0.0000 0.7454 0.0302  9 Al 2.71-2.97, 1 W 2.83
19 Al 0.0000 0.7454 0.4698  9 Al 2.71-2.97, 1 W 2.83
20 Al 0.0000 0.8398 0.6144  2 W 2.67, 7 Al 2.71-2.92
21 Al 0.0000 0.8398 0.8856  2 W 2.67, 7 Al 2.71-2.92
22 Al 0.0000 0.8514 0.2500  2 W 2.57, 6 Al 2.81
23 Al 0.1477 0.5518 0.2500  1 W 2.65, 7 Al 2.72-2.82
24 Al 0.1477 0.5959 0.7500  1 W 2.65, 7 Al 2.72-2.82
25 Al 0.1486 0.0000 0.7500  2 W 2.57, 6 Al 2.81
26 Al 0.1486 0.1486 0.2500  2 W 2.57, 6 Al 2.81
27 Al 0.1576 0.3945 0.6633  7 Al 2.69-2.98, 1 W 2.71
28 Al 0.1576 0.3945 0.8367  7 Al 2.69-2.98, 1 W 2.71
29 Al 0.1576 0.7630 0.1633  7 Al 2.69-2.98, 1 W 2.71
30 Al 0.1576 0.7630 0.3367  7 Al 2.69-2.98, 1 W 2.71
31 Al 0.1602 0.0000 0.1144  2 W 2.67, 7 Al 2.71-2.92
32 Al 0.1602 0.0000 0.3856  2 W 2.67, 7 Al 2.71-2.92
33 Al 0.1602 0.1602 0.6144  2 W 2.67, 7 Al 2.71-2.92
34 Al 0.1602 0.1602 0.8856  2 W 2.67, 7 Al 2.71-2.92
35 Al 0.2370 0.3945 0.1633  7 Al 2.69-2.98, 1 W 2.71
36 Al 0.2370 0.3945 0.3367  7 Al 2.69-2.98, 1 W 2.71
37 Al 0.2370 0.8424 0.6633  7 Al 2.69-2.98, 1 W 2.71
38 Al 0.2370 0.8424 0.8367  7 Al 2.69-2.98, 1 W 2.71
39 Al 0.2470 0.4940 0.0000  6 Al 2.71-2.83
40 Al 0.2470 0.4940 0.5000  6 Al 2.71-2.83
41 Al 0.2470 0.7530 0.0000  6 Al 2.71-2.83
42 Al 0.2470 0.7530 0.5000  6 Al 2.71-2.83
43 Al 0.2546 0.0000 0.5302  9 Al 2.71-2.97, 1 W 2.83
44 Al 0.2546 0.0000 0.9698  9 Al 2.71-2.97, 1 W 2.83
45 Al 0.2546 0.2546 0.0302  9 Al 2.71-2.97, 1 W 2.83
46 Al 0.2546 0.2546 0.4698  9 Al 2.71-2.97, 1 W 2.83
47 Al 0.3333 0.6667 0.1252  9 Al 2.69-2.82
48 Al 0.3333 0.6667 0.3748  9 Al 2.69-2.82
49 Al 0.3333 0.6667 0.6252  9 Al 2.69-2.82
50 Al 0.3333 0.6667 0.8748  9 Al 2.69-2.82
51 Al 0.3945 0.1576 0.6633  7 Al 2.69-2.98, 1 W 2.71
52 Al 0.3945 0.1576 0.8367  7 Al 2.69-2.98, 1 W 2.71
53 Al 0.3945 0.2370 0.1633  7 Al 2.69-2.98, 1 W 2.71
54 Al 0.3945 0.2370 0.3367  7 Al 2.69-2.98, 1 W 2.71
55 Al 0.4041 0.5518 0.7500  1 W 2.65, 7 Al 2.72-2.82
56 Al 0.4041 0.8523 0.2500  1 W 2.65, 7 Al 2.72-2.82
57 Al 0.4482 0.5959 0.2500  1 W 2.65, 7 Al 2.72-2.82
58 Al 0.4482 0.8523 0.7500  1 W 2.65, 7 Al 2.72-2.82
59 Al 0.4940 0.2470 0.0000  6 Al 2.71-2.83
60 Al 0.4940 0.2470 0.5000  6 Al 2.71-2.83
61 Al 0.5060 0.7530 0.0000  6 Al 2.71-2.83
62 Al 0.5060 0.7530 0.5000  6 Al 2.71-2.83
63 Al 0.5518 0.1477 0.2500  1 W 2.65, 7 Al 2.72-2.82
64 Al 0.5518 0.4041 0.7500  1 W 2.65, 7 Al 2.72-2.82
65 Al 0.5959 0.1477 0.7500  1 W 2.65, 7 Al 2.72-2.82
66 Al 0.5959 0.4482 0.2500  1 W 2.65, 7 Al 2.72-2.82
67 Al 0.6055 0.7630 0.6633  7 Al 2.69-2.98, 1 W 2.71
68 Al 0.6055 0.7630 0.8367  7 Al 2.69-2.98, 1 W 2.71
69 Al 0.6055 0.8424 0.1633  7 Al 2.69-2.98, 1 W 2.71
70 Al 0.6055 0.8424 0.3367  7 Al 2.69-2.98, 1 W 2.71
71 Al 0.6667 0.3333 0.1252  9 Al 2.69-2.82
72 Al 0.6667 0.3333 0.3748  9 Al 2.69-2.82
73 Al 0.6667 0.3333 0.6252  9 Al 2.69-2.82
74 Al 0.6667 0.3333 0.8748  9 Al 2.69-2.82
75 Al 0.7454 0.0000 0.0302  9 Al 2.71-2.97, 1 W 2.83
76 Al 0.7454 0.0000 0.4698  9 Al 2.71-2.97, 1 W 2.83
77 Al 0.7454 0.7454 0.5302  9 Al 2.71-2.97, 1 W 2.83
78 Al 0.7454 0.7454 0.9698  9 Al 2.71-2.97, 1 W 2.83
79 Al 0.7530 0.2470 0.0000  6 Al 2.71-2.83
80 Al 0.7530 0.2470 0.5000  6 Al 2.71-2.83
81 Al 0.7530 0.5060 0.0000  6 Al 2.71-2.83
82 Al 0.7530 0.5060 0.5000  6 Al 2.71-2.83
83 Al 0.7630 0.1576 0.1633  7 Al 2.69-2.98, 1 W 2.71
84 Al 0.7630 0.1576 0.3367  7 Al 2.69-2.98, 1 W 2.71
85 Al 0.7630 0.6055 0.6633  7 Al 2.69-2.98, 1 W 2.71
86 Al 0.7630 0.6055 0.8367  7 Al 2.69-2.98, 1 W 2.71
87 Al 0.8398 0.0000 0.6144  2 W 2.67, 7 Al 2.71-2.92
88 Al 0.8398 0.0000 0.8856  2 W 2.67, 7 Al 2.71-2.92
89 Al 0.8398 0.8398 0.1144  2 W 2.67, 7 Al 2.71-2.92
90 Al 0.8398 0.8398 0.3856  2 W 2.67, 7 Al 2.71-2.92
91 Al 0.8424 0.2370 0.6633  7 Al 2.69-2.98, 1 W 2.71
92 Al 0.8424 0.2370 0.8367  7 Al 2.69-2.98, 1 W 2.71
93 Al 0.8424 0.6055 0.1633  7 Al 2.69-2.98, 1 W 2.71
94 Al 0.8424 0.6055 0.3367  7 Al 2.69-2.98, 1 W 2.71
95 Al 0.8514 0.0000 0.2500  2 W 2.57, 6 Al 2.81
96 Al 0.8514 0.8514 0.7500  2 W 2.57, 6 Al 2.81
97 Al 0.8523 0.4041 0.2500  1 W 2.65, 7 Al 2.72-2.82
98 Al 0.8523 0.4482 0.7500  1 W 2.65, 7 Al 2.72-2.82
99 W 0.0000 0.0000 0.0000  12 Al 2.67-2.83
100 W 0.0000 0.0000 0.5000  12 Al 2.67-2.83
101 W 0.0000 0.2711 0.2500  10 Al 2.57-2.71
102 W 0.0000 0.7289 0.7500  10 Al 2.57-2.71
103 W 0.2711 0.0000 0.2500  10 Al 2.57-2.71
104 W 0.2711 0.2711 0.7500  10 Al 2.57-2.71
105 W 0.7289 0.0000 0.7500  10 Al 2.57-2.71
106 W 0.7289 0.7289 0.2500  10 Al 2.57-2.71

Compound: TcBC2Cl
Source: Alexandria via LeMat-Bulk
Functional: SCAN
Structure: PBEsol geometry

VASP energy, eV per atom: -12.087
Size of the total moment, μB per cell: 1.4
Space-group type: No. 123
Formation energy (no corrections), meV/atom: 2046
Fermi-level density of states, states/eV/atom: 0.550

Cell lengths 3.3372, 3.3372, 4.6447 Å; angles 90.00, 90.00, 90.00 degrees
Closest atoms and distances in Å follow each position.
Sites, in units of the cell vectors:
1 Tc 0.0000 0.0000 0.0000  4 Cl 2.36
2 B 0.5000 0.5000 0.5000  4 C 1.67
3 C 0.0000 0.5000 0.5000  2 B 1.67
4 C 0.5000 0.0000 0.5000  2 B 1.67
5 Cl 0.5000 0.5000 0.0000  2 B 2.32, 4 Tc 2.36

Compound: TaMo3
Source: Alexandria via LeMat-Bulk
Functional: SCAN
Structure: PBEsol geometry

VASP energy, eV per atom: -42.939
Size of the total moment, μB per cell: 0.0
Space-group type: No. 123
Energy of formation, eV per atom: -0.129
Fermi-level density of states, states/eV/atom: 0.475

Cell lengths 3.1551, 3.1551, 12.6846 Å; angles 90.00, 90.00, 90.00 degrees
Closest atoms and distances in Å follow each position.
Sites, in units of the cell vectors:
1 Ta 0.0000 0.0000 0.1264  8 Mo 2.75-2.77
2 Ta 0.0000 0.0000 0.8736  8 Mo 2.75-2.77
3 Mo 0.0000 0.0000 0.3769  8 Mo 2.71-2.72
4 Mo 0.0000 0.0000 0.6231  8 Mo 2.71-2.72
5 Mo 0.5000 0.5000 0.0000  8 Ta 2.75
6 Mo 0.5000 0.5000 0.2559  4 Mo 2.71, 4 Ta 2.77
7 Mo 0.5000 0.5000 0.5000  8 Mo 2.72
8 Mo 0.5000 0.5000 0.7441  4 Mo 2.71, 4 Ta 2.77

Compound: BeP3
Source: Alexandria via LeMat-Bulk
Functional: SCAN
Structure: PBEsol geometry

VASP energy, eV per atom: -8.643
Relative energy among the computed polymorphs, eV/atom: 0.000
Size of the total moment, μB per cell: 0.0
Space-group type: No. 229
Energy of formation, eV per atom: 0.245
Fermi-level density of states, states/eV/atom: 0.574

Cell lengths 4.1146, 4.1146, 4.1146 Å; angles 109.47, 109.47, 109.47 degrees
Closest atoms and distances in Å follow each position.
Sites, in units of the cell vectors:
1 Be 0.0000 0.0000 0.0000  6 P 2.38
2 P 0.0000 0.5000 0.5000  2 Be 2.38, 4 P 2.38
3 P 0.5000 0.0000 0.5000  2 Be 2.38, 4 P 2.38
4 P 0.5000 0.5000 0.0000  2 Be 2.38, 4 P 2.38

Compound: Cu2PbAu
Source: Alexandria via LeMat-Bulk
Functional: SCAN
Structure: PBEsol geometry

VASP energy, eV per atom: -43.628
Size of the total moment, μB per cell: 0.0
Space-group type: No. 44
Energy of formation, eV per atom: 0.206
Fermi-level density of states, states/eV/atom: 0.242

Cell lengths 5.2473, 5.2473, 5.2473 Å; angles 142.22, 130.99, 63.50 degrees
Closest atoms and distances in Å follow each position.
Sites, in units of the cell vectors:
1 Cu 0.0000 0.0000 0.0000  2 Cu 2.54, 4 Au 2.79
2 Cu 0.7880 0.2880 0.5000  2 Cu 2.54, 2 Au 2.75, 4 Pb 2.77
3 Pb 0.2704 0.7704 0.5000  8 Cu 2.77-2.99, 4 Au 2.96-2.99
4 Au 0.5457 0.5457 0.0000  6 Cu 2.75-2.79, 4 Pb 2.96-2.99

Compound: Sr2ZrCu
Source: Alexandria via LeMat-Bulk
Functional: SCAN
Structure: PBEsol geometry

VASP energy, eV per atom: -21.965
Relative energy among the computed polymorphs, eV/atom: 0.299
Size of the total moment, μB per cell: 0.9
Space-group type: No. 65
Energy of formation, eV per atom: 0.647
Fermi-level density of states, states/eV/atom: 0.867

Cell lengths 5.7160, 5.7160, 3.5257 Å; angles 90.00, 90.00, 104.19 degrees
Closest atoms and distances in Å follow each position.
Sites, in units of the cell vectors:
1 Sr 0.0000 0.5000 0.0000  4 Cu 3.36, 4 Zr 3.36, 4 Sr 3.51-3.53
2 Sr 0.5000 0.0000 0.0000  4 Cu 3.36, 4 Zr 3.36, 4 Sr 3.51-3.53
3 Zr 0.0000 0.0000 0.5000  8 Sr 3.36, 2 Cu 3.51, 2 Zr 3.53
4 Cu 0.5000 0.5000 0.5000  8 Sr 3.36, 2 Zr 3.51, 2 Cu 3.53

Compound: P2HSCl
Source: Alexandria via LeMat-Bulk
Functional: SCAN
Structure: PBEsol geometry

VASP energy, eV per atom: -7.213
Size of the total moment, μB per cell: 0.0
Space-group type: No. 123
Fermi-level density of states, states/eV/atom: 0.576

Cell lengths 4.3315, 4.3315, 3.5814 Å; angles 90.00, 90.00, 90.00 degrees
Closest atoms and distances in Å follow each position.
Sites, in units of the cell vectors:
1 P 0.0000 0.5000 0.0000  2 H 2.17
2 P 0.5000 0.0000 0.0000  2 H 2.17
3 H 0.0000 0.0000 0.0000  2 S 1.79
4 S 0.0000 0.0000 0.5000  2 H 1.79
5 Cl 0.5000 0.5000 0.5000  8 P 2.81, 4 S 3.06

Compound: Ce4ZrO10
Source: Alexandria via LeMat-Bulk
Functional: SCAN
Structure: PBEsol geometry

VASP energy, eV per atom: -21.826
Relative energy among the computed polymorphs, eV/atom: 0.011
Size of the total moment, μB per cell: 0.0
Space-group type: No. 139
Formation energy (no corrections), meV/atom: -3742
Fermi-level density of states, states/eV/atom: 0.000

Cell lengths 13.6274, 13.6274, 13.6274 Å; angles 164.12, 164.12, 22.53 degrees
Closest atoms and distances in Å follow each position.
Sites, in units of the cell vectors:
1 Ce 0.0974 0.0974 0.0000  8 O 2.32-2.33
2 Ce 0.3008 0.3008 0.0000  8 O 2.32
3 Ce 0.6992 0.6992 0.0000  8 O 2.32
4 Ce 0.9026 0.9026 0.0000  8 O 2.32-2.33
5 Zr 0.5000 0.5000 0.0000  8 O 2.25
6 O 0.0462 0.5462 0.5000  2 Zr 2.25, 2 Ce 2.33, 1 O 2.47
7 O 0.1481 0.6481 0.5000  4 Ce 2.32
8 O 0.2500 0.7500 0.5000  4 Ce 2.32
9 O 0.3519 0.8519 0.5000  4 Ce 2.32
10 O 0.4538 0.9538 0.5000  2 Zr 2.25, 2 Ce 2.33, 1 O 2.47
11 O 0.5462 0.0462 0.5000  2 Zr 2.25, 2 Ce 2.33, 1 O 2.47
12 O 0.6481 0.1481 0.5000  4 Ce 2.32
13 O 0.7500 0.2500 0.5000  4 Ce 2.32
14 O 0.8519 0.3519 0.5000  4 Ce 2.32
15 O 0.9538 0.4538 0.5000  2 Zr 2.25, 2 Ce 2.33, 1 O 2.47

Compound: CsKZn3
Source: Alexandria via LeMat-Bulk
Functional: SCAN
Structure: PBEsol geometry

VASP energy, eV per atom: -16.649
Relative energy among the computed polymorphs, eV/atom: 0.121
Size of the total moment, μB per cell: 0.0
Space-group type: No. 221
Energy of formation, eV per atom: 0.688
Fermi-level density of states, states/eV/atom: 0.576

Cell lengths 6.2844, 6.2844, 6.2844 Å; angles 90.00, 90.00, 90.00 degrees
Closest atoms and distances in Å follow each position.
Sites, in units of the cell vectors:
1 Cs 0.0000 0.0000 0.0000  6 Zn 3.14
2 K 0.5000 0.5000 0.5000  12 Zn 4.44
3 Zn 0.0000 0.0000 0.5000  2 Cs 3.14
4 Zn 0.0000 0.5000 0.0000  2 Cs 3.14
5 Zn 0.5000 0.0000 0.0000  2 Cs 3.14

Compound: Ca2Bi3O8
Source: Alexandria via LeMat-Bulk
Functional: SCAN
Structure: PBEsol geometry

VASP energy, eV per atom: -25.062
Relative energy among the computed polymorphs, eV/atom: 0.000
Size of the total moment, μB per cell: 0.0
Space-group type: No. 12
Formation energy (no corrections), meV/atom: -1607
Fermi-level density of states, states/eV/atom: 0.221

Cell lengths 6.7116, 6.7116, 5.7891 Å; angles 108.49, 108.49, 60.16 degrees
Closest atoms and distances in Å follow each position.
Sites, in units of the cell vectors:
1 Ca 0.2193 0.2193 0.1414  6 O 2.35-2.51
2 Ca 0.7807 0.7807 0.8586  6 O 2.35-2.51
3 Bi 0.2386 0.7614 0.5000  6 O 2.16-2.26
4 Bi 0.5000 0.5000 0.0000  6 O 2.36-2.40
5 Bi 0.7614 0.2386 0.5000  6 O 2.16-2.26
6 O 0.1018 0.1018 0.4083  2 Bi 2.17, 1 Ca 2.41
7 O 0.1470 0.6089 0.1164  2 Bi 2.16-2.36, 1 Ca 2.35
8 O 0.3911 0.8530 0.8836  2 Bi 2.16-2.36, 1 Ca 2.35
9 O 0.3916 0.3916 0.5593  3 Bi 2.26-2.40, 1 Ca 2.51
10 O 0.6084 0.6084 0.4407  3 Bi 2.26-2.40, 1 Ca 2.51
11 O 0.6089 0.1470 0.1164  2 Bi 2.16-2.36, 1 Ca 2.35
12 O 0.8530 0.3911 0.8836  2 Bi 2.16-2.36, 1 Ca 2.35
13 O 0.8982 0.8982 0.5917  2 Bi 2.17, 1 Ca 2.41

Compound: BaSi2N
Source: Alexandria via LeMat-Bulk
Functional: SCAN
Structure: PBEsol geometry

VASP energy, eV per atom: -16.996
Size of the total moment, μB per cell: 0.0
Space-group type: No. 141
Formation energy (no corrections), meV/atom: 222
Fermi-level density of states, states/eV/atom: 0.455

Cell lengths 7.9553, 7.9553, 7.9553 Å; angles 145.83, 145.83, 49.10 degrees
Closest atoms and distances in Å follow each position.
Sites, in units of the cell vectors:
1 Ba 0.3750 0.6250 0.7500  8 Si 3.18, 4 N 3.31
2 Ba 0.6250 0.3750 0.2500  8 Si 3.18, 4 N 3.31
3 Si 0.0000 0.0000 0.0000  2 N 2.15, 2 Si 2.34
4 Si 0.0000 0.0000 0.5000  2 N 2.15, 2 Si 2.34
5 Si 0.0000 0.5000 0.0000  2 N 2.15, 2 Si 2.34
6 Si 0.5000 0.0000 0.5000  2 N 2.15, 2 Si 2.34
7 N 0.1250 0.8750 0.2500  4 Si 2.15
8 N 0.8750 0.1250 0.7500  4 Si 2.15